# 1
CoOs2W PBE optimized geometry; formation energy = 201 meV per atom; crystal system = trigonal; D(E_F) = 3.657 states/eV/cell; polymorph energy (0 for the lowest one) = 0.197 eV per atom; space group = R-3m, No. 166; size of the total moment = 1.5 Bohr magnetons per cell
1.0
1.365 0.788 8.773
-1.365 0.788 8.773
0.000 -1.576 8.773
Co Os W
1 2 1
Cartesian
0.000 0.000 0.000
0.000 0.000 6.677
0.000 0.000 19.642
0.000 0.000 13.159

***

# 2
Co2OsW PBE optimized geometry; formation energy = 97 meV per atom; crystal system = orthorhombic; D(E_F) = 4.891 states/eV/cell; polymorph energy (0 for the lowest one) = 0.096 eV per atom; space group = Pmmm, No. 47; size of the total moment = 0.5 Bohr magnetons per cell
1.0
2.639 0.000 0.000
0.000 3.694 0.000
0.000 0.000 5.265
Co Os W
2 1 1
Cartesian
0.000 0.000 1.270
0.000 0.000 3.995
1.319 1.847 0.000
1.319 1.847 2.632

***

# 3
CoOs2W PBE optimized geometry; formation energy = 509 meV per atom; crystal system = orthorhombic; D(E_F) = 5.758 states/eV/cell; polymorph energy (0 for the lowest one) = 0.506 eV per atom; space group = Cmm2, No. 35; size of the total moment = 2.2 Bohr magnetons per cell
1.0
1.438 -2.253 0.000
1.438 2.253 0.000
0.000 0.000 8.897
Co Os W
1 2 1
Cartesian
0.000 0.000 0.000
0.000 0.000 4.455
1.438 0.000 2.133
1.438 0.000 6.744

***

# 4
CoOs2W PBE optimized geometry; formation energy = 298 meV per atom; crystal system = monoclinic; D(E_F) = 5.369 states/eV/cell; polymorph energy (0 for the lowest one) = 0.294 eV per atom; space group = P2/m, No. 10; size of the total moment = 1.4 Bohr magnetons per cell
1.0
2.682 0.000 0.000
0.000 4.329 0.000
-0.725 0.000 4.888
Co Os W
1 2 1
Cartesian
0.000 0.000 0.000
-0.061 2.165 3.772
2.017 2.165 1.116
0.978 0.000 2.444